Version w
SCAN Mg2AgW, PBEsol geometry; calculated volume = 17.255 A^3/atom; DOS(E_F) = 0.691 states/eV/atom
1.0
2.9158 0.0000 0.0000
0.0000 4.7584 0.0000
0.0000 0.0000 4.9744
W Mg Ag
1 2 1
direct
0.5000 0.5000 0.0000
0.0000 0.0000 0.0000
0.5000 0.0000 0.5000
0.0000 0.5000 0.5000

***

Version x
SCAN Mg2AgW, PBEsol geometry; calculated volume = 17.243 A^3/atom; DOS(E_F) = 0.588 states/eV/atom
1.0
-1.2352 1.0553 -2.3152
3.3852 -2.3711 -2.8869
-3.9707 -3.2105 2.3828
Ag Mg W
1 2 1
direct
0.0000 0.5000 0.0000
0.2615 0.2615 0.5230
0.7385 0.7385 0.4770
0.5000 0.0000 0.0000

***

Order from most stable to least stable according to the calculation: version x, version w

***

Version w
SCAN Y2MgAg2, PBEsol geometry; calculated volume = 25.406 A^3/atom; DOS(E_F) = 0.179 states/eV/atom
1.0
5.6027 0.0000 0.0000
-2.8014 4.9217 -0.0223
0.0000 3.2098 4.5921
Ag Mg Y
2 1 2
direct
0.3450 0.6899 0.6550
0.6550 0.3101 0.3450
0.0000 0.0000 0.0000
0.7500 0.5000 0.7500
0.2500 0.5000 0.2500

***

Version x
SCAN Y2MgAg2, PBEsol geometry; calculated volume = 23.490 A^3/atom; DOS(E_F) = 0.958 states/eV/atom
1.0
-0.2210 -3.0917 2.1141
4.7047 -3.8167 -5.0898
6.3448 2.3513 4.1016
Mg Ag Y
2 4 4
direct
0.0000 0.0000 0.0000
0.0000 0.5000 0.5000
0.0000 0.6283 0.1283
0.0000 0.1283 0.3717
0.0000 0.3717 0.8717
0.0000 0.8717 0.6283
0.5000 0.1690 0.6690
0.5000 0.8310 0.3310
0.5000 0.3310 0.1690
0.5000 0.6690 0.8310

***

Order from most stable to least stable according to the calculation: version x, version w

***

Version w
SCAN MnAgMo2, PBEsol geometry; calculated volume = 14.289 A^3/atom; DOS(E_F) = 0.655 states/eV/atom
1.0
2.6777 0.0000 0.0000
0.0000 2.6777 0.0000
0.0000 0.0000 7.9717
Mo Ag Mn
2 1 1
direct
0.0000 0.0000 0.2845
0.0000 0.0000 0.7155
0.5000 0.5000 0.0000
0.5000 0.5000 0.5000

***

Version x
SCAN MnAgMo2, PBEsol geometry; calculated volume = 14.596 A^3/atom; DOS(E_F) = 0.868 states/eV/atom
1.0
-1.0632 -0.5329 3.5589
-3.2617 -1.4250 -1.1878
1.6799 -3.7905 -0.0657
Mo Mn Ag
2 1 1
direct
0.0000 0.5000 0.0000
0.5000 0.0000 0.0000
0.0000 0.0000 0.5000
0.5000 0.5000 0.5000

***

Order from most stable to least stable according to the calculation: version x, version w

***

Version w
SCAN MnAgMo2, PBEsol geometry; calculated volume = 14.706 A^3/atom; DOS(E_F) = 0.731 states/eV/atom
1.0
-0.0765 -1.6342 2.0494
2.6908 -2.7614 -2.1015
4.0520 2.7520 1.5722
Mn Mo Ag
1 2 1
direct
0.3240 0.5000 0.7742
0.9936 0.0000 0.9830
0.7850 0.5000 0.2451
0.3973 0.0000 0.4978

***

Version x
SCAN MnAgMo2, PBEsol geometry; calculated volume = 14.836 A^3/atom; DOS(E_F) = 0.874 states/eV/atom
1.0
2.6851 0.0000 0.0000
0.0000 4.7873 0.0545
0.0000 -1.7180 4.5971
Mo Mn Ag
2 1 1
direct
0.5000 0.5000 0.0000
0.0000 0.0000 0.0000
0.0000 0.5000 0.5000
0.5000 0.0000 0.5000

***

Order from most stable to least stable according to the calculation: version w, version x

***

Version w
SCAN MnNiAgW2, PBEsol geometry; calculated volume = 20.231 A^3/atom; DOS(E_F) = 1.083 states/eV/atom
1.0
4.5276 0.0000 0.0000
0.0000 4.7267 0.0000
0.0000 0.0000 4.7267
Mn W Ni Ag
1 2 1 1
direct
0.5000 0.0000 0.0000
0.0000 0.5000 0.0000
0.0000 0.0000 0.5000
0.5000 0.5000 0.5000
0.0000 0.0000 0.0000

***

Version x
SCAN MnNiAgW2, PBEsol geometry; calculated volume = 17.352 A^3/atom; DOS(E_F) = 1.020 states/eV/atom
1.0
-3.5735 -1.8196 -1.6156
2.4254 -2.4325 -2.6251
0.2103 -3.3030 3.2549
W Ag Mn Ni
2 1 1 1
direct
0.5000 0.0000 0.0000
0.0000 0.5000 0.0000
0.0000 0.0000 0.5000
0.0000 0.0000 0.0000
0.5000 0.5000 0.5000

***

Order from most stable to least stable according to the calculation: version x, version w

***

Version w
SCAN MnAgOs2, PBEsol geometry; calculated volume = 13.953 A^3/atom; DOS(E_F) = 0.786 states/eV/atom
1.0
4.2895 0.0000 0.0000
2.1448 3.7149 0.0000
2.1448 1.2383 3.5024
Os Mn Ag
2 1 1
direct
0.2500 0.2500 0.2500
0.7500 0.7500 0.7500
0.5000 0.5000 0.5000
0.0000 0.0000 0.0000

***

Version x
SCAN MnAgOs2, PBEsol geometry; calculated volume = 14.078 A^3/atom; DOS(E_F) = 0.673 states/eV/atom
1.0
2.7266 0.0000 0.0000
0.0000 4.6764 0.0078
0.0000 -1.5405 4.4138
Os Ag Mn
2 1 1
direct
0.0000 0.0000 0.0000
0.5000 0.5000 0.0000
0.5000 0.0000 0.5000
0.0000 0.5000 0.5000

***

Version y
SCAN MnAgOs2, PBEsol geometry; calculated volume = 14.473 A^3/atom; DOS(E_F) = 0.729 states/eV/atom
1.0
2.8050 0.0000 0.0000
0.0000 4.5193 0.0000
0.0000 0.0000 4.5670
Os Ag Mn
2 1 1
direct
0.0000 0.0000 0.0000
0.5000 0.5000 0.0000
0.5000 0.0000 0.5000
0.0000 0.5000 0.5000

***

Order from most stable to least stable according to the calculation: version x, version y, version w

***

Version w
SCAN MnAgOs2, PBEsol geometry; calculated volume = 13.931 A^3/atom; DOS(E_F) = 0.768 states/eV/atom
1.0
-1.0417 1.7147 -1.7908
-1.7732 -0.8730 -1.8237
-7.6009 2.0927 4.4060
Os Ag Mn
2 1 1
direct
0.7452 0.7452 0.7645
0.9975 0.9975 0.0076
0.5029 0.5029 0.4914
0.2545 0.2545 0.2365

***

Version x
SCAN MnAgOs2, PBEsol geometry; calculated volume = 14.403 A^3/atom; DOS(E_F) = 0.816 states/eV/atom
1.0
2.7289 0.0000 0.0000
0.0000 2.7289 0.0000
0.0000 0.0000 7.7367
Ag Mn Os
1 1 2
direct
0.0000 0.0000 0.5057
0.5000 0.5000 0.7632
0.5000 0.5000 0.2286
0.0000 0.0000 0.0025

***

Order from most stable to least stable according to the calculation: version x, version w

***

Version w
SCAN Mn2ReAg, PBEsol geometry; calculated volume = 13.967 A^3/atom; DOS(E_F) = 0.699 states/eV/atom
1.0
-1.9517 -1.8137 0.7958
-0.6874 -0.4275 -2.6602
4.8266 -5.3630 -0.3852
Re Mn Ag
1 2 1
direct
0.5000 0.5000 0.0000
0.0000 0.0000 0.2281
0.0000 0.0000 0.7719
0.5000 0.5000 0.5000

***

Version x
SCAN Mn2ReAg, PBEsol geometry; calculated volume = 13.036 A^3/atom; DOS(E_F) = 1.134 states/eV/atom
1.0
-0.2761 -2.8587 -1.8976
-0.8198 -2.0488 3.2059
-3.7918 0.7091 -0.5164
Ag Re Mn
1 1 2
direct
0.5000 0.0000 0.0000
0.5000 0.5000 0.5000
0.0000 0.5000 0.0000
0.0000 0.0000 0.5000

***

Order from most stable to least stable according to the calculation: version w, version x